# 1
Compound: ZrSi2Rh
Source: the Alexandria database
Functional: PBE
Structure: relaxed

Computed properties:
spin magnetization	0.0	μB per cell
space group	Immm
formation energy (no corrections)	-0.4563	eV per atom

Cell and atoms, written as POSCAR:
```
ZrSi2Rh
1.0
-2.6565 1.9274 4.1505
-3.4762 -3.4632 1.9801
5.0510 1.2516 -0.9588
Zr Si Rh
1 2 1
direct
0.7500 0.2500 0.5000
0.0257 0.0257 0.0000
0.4743 0.4743 0.0000
0.2500 0.7500 0.5000
```



# 2
Compound: SiTeHI2
Source: the Alexandria database
Functional: PBE
Structure: relaxed

Computed properties:
spin magnetization	0.4	μB per cell
space group	P4/mmm
energy above the most stable polymorph in this dataset	0.000	eV/atom

Cell and atoms, written as POSCAR:
```
SiTeHI2
1.0
-2.5628 4.6706 -1.8275
-2.5813 0.5313 4.9776
4.0772 2.9416 1.8004
I H Te Si
2 1 1 1
direct
0.5000 0.0000 0.0000
0.0000 0.5000 0.0000
0.5000 0.5000 0.5000
0.0000 0.0000 0.5000
0.0000 0.0000 0.0000
```